Entry 1:
A geometry-optimized CaMg4Mn structure, computed with PBEsol.

Cell and atoms, written as CIF:
```
data_CaMg4Mn
_symmetry_space_group_name_H-M 'F -4 3 m'
_symmetry_Int_Tables_number 216
_symmetry_space_group_name_Hall 'F -4 2 3'
_cell_length_a 8.247
_cell_length_b 8.247
_cell_length_c 8.247
_cell_angle_alpha 90.00
_cell_angle_beta 90.00
_cell_angle_gamma 90.00
loop_
_atom_site_label
_atom_site_fract_x
_atom_site_fract_y
_atom_site_fract_z
Ca1 0.000 0.000 0.000
Mg1 0.124 0.124 0.624
Mn1 0.250 0.250 0.250
```

Energy of formation from the pure elements: 0.263 eV/atom
Total energy: -2.864 eV/atom

---

Entry 2:
A geometry-optimized NbAs2PdBr structure, computed with PBEsol.

Cell and atoms, written as CIF:
```
data_NbAs2PdBr
_symmetry_space_group_name_H-M 'P 4/m m m'
_symmetry_Int_Tables_number 123
_symmetry_space_group_name_Hall '-P 4 2'
_cell_length_a 4.936
_cell_length_b 4.936
_cell_length_c 5.013
_cell_angle_alpha 90.00
_cell_angle_beta 90.00
_cell_angle_gamma 90.00
loop_
_atom_site_label
_atom_site_fract_x
_atom_site_fract_y
_atom_site_fract_z
Nb1 0.000 0.000 0.000
As1 0.000 0.500 0.000
Pd1 0.500 0.500 0.500
Br1 0.000 0.000 0.500
```

Total energy: -5.221 eV/atom

---

Entry 3:
A geometry-optimized TaCr3B structure, computed with PBEsol.

Cell and atoms, written as CIF:
```
data_TaCr3B
_symmetry_space_group_name_H-M 'P m -3 m'
_symmetry_Int_Tables_number 221
_symmetry_space_group_name_Hall '-P 4 2 3'
_cell_length_a 3.909
_cell_length_b 3.909
_cell_length_c 3.909
_cell_angle_alpha 90.00
_cell_angle_beta 90.00
_cell_angle_gamma 90.00
loop_
_atom_site_label
_atom_site_fract_x
_atom_site_fract_y
_atom_site_fract_z
Ta1 0.000 0.000 0.000
Cr1 0.000 0.500 0.500
B1 0.500 0.500 0.500
```

Energy of formation from the pure elements: 0.176 eV/atom
Total energy: -9.883 eV/atom

---

Entry 4:
A geometry-optimized SbSeCl structure, computed with PBEsol.

Cell and atoms, written as CIF:
```
data_SbSeCl
_symmetry_space_group_name_H-M 'P 3 m 1'
_symmetry_Int_Tables_number 156
_cell_length_a 3.9575
_cell_length_b 3.9575
_cell_length_c 6.2166
_cell_angle_alpha 90.00
_cell_angle_beta 90.00
_cell_angle_gamma 120.00
loop_
_symmetry_equiv_pos_as_xyz
'x,y,z'
'-y,x-y,z'
'-x+y,-x,z'
'-y,-x,z'
'-x+y,y,z'
'x,x-y,z'
loop_
_atom_site_label
_atom_site_fract_x
_atom_site_fract_y
_atom_site_fract_z
Sb1 0.0000 0.0000 0.0000
Se1 0.3333 0.6667 0.7492
Cl1 0.6667 0.3333 0.2757
```

Total energy: -3.983 eV/atom

---

Entry 5:
A geometry-optimized ErNi4B structure, computed with PBEsol.

Cell and atoms, written as CIF:
```
data_ErNi4B
_symmetry_space_group_name_H-M 'P 6/m m m'
_symmetry_Int_Tables_number 191
_symmetry_space_group_name_Hall '-P 6 2'
_cell_length_a 4.8711
_cell_length_b 4.8711
_cell_length_c 6.8668
_cell_angle_alpha 90.00
_cell_angle_beta 90.00
_cell_angle_gamma 120.00
loop_
_atom_site_label
_atom_site_fract_x
_atom_site_fract_y
_atom_site_fract_z
Er1 0.0000 0.0000 0.0000
Er2 0.0000 0.0000 0.5000
Ni1 0.0000 0.5000 0.2101
Ni2 0.3333 0.6667 0.5000
B1 0.3333 0.6667 0.0000
```

Energy of formation from the pure elements: -0.540 eV/atom
Total energy: -6.635 eV/atom

---

Entry 6:
A geometry-optimized TlMo3N structure, computed with PBEsol.

Cell and atoms, written as CIF:
```
data_TlMo3N
_symmetry_space_group_name_H-M 'P m -3 m'
_symmetry_Int_Tables_number 221
_symmetry_space_group_name_Hall '-P 4 2 3'
_cell_length_a 4.919
_cell_length_b 4.919
_cell_length_c 4.919
_cell_angle_alpha 90.00
_cell_angle_beta 90.00
_cell_angle_gamma 90.00
loop_
_atom_site_label
_atom_site_fract_x
_atom_site_fract_y
_atom_site_fract_z
Tl1 0.000 0.000 0.000
Mo1 0.000 0.000 0.500
N1 0.500 0.500 0.500
```

ΔE to the lowest computed polymorph: 4.014 eV/atom
Total energy: -5.278 eV/atom

---

Q: What is the total energy in the first record?
A: -2.864 eV/atom

---

Q: total energy of number 2 (NbAs2PdBr)?
A: -5.221 eV/atom

---

Q: What is the formula in the third record?
A: TaCr3B

---

Copy entry 6 word for word.
A geometry-optimized TlMo3N structure, computed with PBEsol.

Cell and atoms, written as CIF:
```
data_TlMo3N
_symmetry_space_group_name_H-M 'P m -3 m'
_symmetry_Int_Tables_number 221
_symmetry_space_group_name_Hall '-P 4 2 3'
_cell_length_a 4.919
_cell_length_b 4.919
_cell_length_c 4.919
_cell_angle_alpha 90.00
_cell_angle_beta 90.00
_cell_angle_gamma 90.00
loop_
_atom_site_label
_atom_site_fract_x
_atom_site_fract_y
_atom_site_fract_z
Tl1 0.000 0.000 0.000
Mo1 0.000 0.000 0.500
N1 0.500 0.500 0.500
```

ΔE to the lowest computed polymorph: 4.014 eV/atom
Total energy: -5.278 eV/atom